Nd5Cu5Ni2 after structural relaxation. Source: Alexandria, functional PBE.

Geometry as CIF:
```
data_Nd5Cu5Ni2
_chemical_formula_sum 'Nd10 Cu10 Ni4'
_space_group_name_H-M_alt 'C 1 2/m 1'
_space_group_IT_number 12
_cell_length_a 15.3724
_cell_length_b 4.0251
_cell_length_c 11.3264
_cell_angle_alpha 90.00
_cell_angle_beta 132.37
_cell_angle_gamma 90.00
loop_
_space_group_symop_operation_xyz
'x,y,z'
'-x,-y,-z'
'-x,y,-z'
'x,-y,z'
'x+1/2,y+1/2,z'
'-x+1/2,-y+1/2,-z'
'-x+1/2,y+1/2,-z'
'x+1/2,-y+1/2,z'
loop_
_atom_site_label
_atom_site_type_symbol
_atom_site_fract_x
_atom_site_fract_y
_atom_site_fract_z
Nd1 Nd 0.0000 0.0000 0.0000
Nd2 Nd 0.1180 0.5000 0.8188
Nd3 Nd 0.1970 0.5000 0.5890
Cu1 Cu 0.0000 0.0000 0.5000
Cu2 Cu 0.0668 0.0000 0.3315
Cu3 Cu 0.2130 0.5000 0.1532
Ni1 Ni 0.1129 0.5000 0.2605
```

Computed properties:
D(E_F) = 15.293 states/eV per cell
DFT total energy = -116.69 eV per cell
DFT formation energy = -2.462 eV/f.u.